Version A
{
  "formula": "SrMn2Cl",
  "functional": "PBE",
  "state": "relaxed",
  "cell": [[0.000, 3.776, 3.776], [3.776, 0.000, 3.776], [3.776, 3.776, 0.000]],
  "species": ["Sr", "Mn", "Mn", "Cl"],
  "fractional_positions": [[0.500, 0.500, 0.500], [0.250, 0.250, 0.250], [0.750, 0.750, 0.750], [0.000, 0.000, 0.000]],
  "space_group": "Fm-3m, No. 225",
  "crystal_system": "cubic"
}


Version B
{
  "formula": "SrMn2Cl",
  "functional": "PBE",
  "state": "relaxed",
  "cell": [[-3.651, -0.991, 1.257], [-0.722, -1.776, -3.495], [2.407, -12.406, 3.532]],
  "species": ["Sr", "Sr", "Mn", "Mn", "Mn", "Mn", "Cl", "Cl"],
  "fractional_positions": [[0.000, 0.000, 0.000], [0.750, 0.250, 0.500], [0.627, 0.125, 0.250], [0.123, 0.625, 0.250], [0.375, 0.373, 0.750], [0.875, 0.877, 0.750], [0.500, 0.500, 0.000], [0.250, 0.750, 0.500]],
  "space_group": "I-42d, No. 122",
  "crystal_system": "tetragonal"
}


Version C
{
  "formula": "SrMn2Cl",
  "functional": "PBE",
  "state": "relaxed",
  "cell": [[3.664, 0.000, 0.000], [0.000, 3.708, -0.071], [0.000, 2.053, 8.158]],
  "species": ["Cl", "Mn", "Mn", "Sr"],
  "fractional_positions": [[0.500, 0.970, 0.677], [0.000, 0.762, 0.107], [0.500, 0.209, 0.210], [0.000, 0.558, 0.505]],
  "space_group": "Pm, No. 6",
  "crystal_system": "monoclinic"
}


Version D
{
  "formula": "SrMn2Cl",
  "functional": "PBE",
  "state": "relaxed",
  "cell": [[-3.927, 0.056, -4.930], [-1.546, -2.862, 1.199], [-2.922, 2.554, 2.356]],
  "species": ["Cl", "Mn", "Mn", "Sr"],
  "fractional_positions": [[0.500, 0.750, 0.750], [0.000, 0.987, 0.012], [0.000, 0.513, 0.488], [0.500, 0.250, 0.250]],
  "space_group": "P2/m, No. 10",
  "crystal_system": "monoclinic"
}


Short version: version A is the least stable of them.


Version A
{
  "formula": "SrMnCl6",
  "functional": "PBE",
  "state": "relaxed",
  "cell": [[7.722, 0.193, 1.934], [3.503, 4.726, 3.283], [0.580, -0.196, 6.574]],
  "species": ["Sr", "Mn", "Cl", "Cl", "Cl", "Cl", "Cl", "Cl"],
  "fractional_positions": [[0.500, 0.000, 0.000], [0.000, 0.000, 0.000], [0.229, 0.801, 0.289], [0.229, 0.090, 0.711], [0.771, 0.910, 0.289], [0.771, 0.199, 0.711], [0.181, 0.568, 0.000], [0.819, 0.432, 0.000]],
  "space_group": "C2/m, No. 12",
  "crystal_system": "monoclinic"
}


Version B
{
  "formula": "SrMnCl6",
  "functional": "PBE",
  "state": "relaxed",
  "cell": [[-3.114, 5.623, -0.575], [-6.450, 0.105, -0.280], [-3.432, 2.374, 5.601]],
  "species": ["Sr", "Mn", "Cl", "Cl", "Cl", "Cl", "Cl", "Cl"],
  "fractional_positions": [[0.500, 0.500, 0.500], [0.000, 0.000, 0.000], [0.037, 0.381, 0.778], [0.803, 0.037, 0.778], [0.619, 0.197, 0.222], [0.197, 0.963, 0.222], [0.963, 0.619, 0.222], [0.381, 0.803, 0.778]],
  "space_group": "R-3, No. 148",
  "crystal_system": "trigonal"
}


Short version: version A is the least stable of them.


Version A
{
  "formula": "SrMnCl5",
  "functional": "PBE",
  "state": "relaxed",
  "cell": [[6.824, 0.161, 0.031], [2.318, 6.421, 0.031], [3.347, 2.410, 9.023]],
  "species": ["Sr", "Sr", "Mn", "Mn", "Cl", "Cl", "Cl", "Cl", "Cl", "Cl", "Cl", "Cl", "Cl", "Cl"],
  "fractional_positions": [[0.550, 0.450, 0.250], [0.450, 0.550, 0.750], [0.000, 0.000, 0.000], [0.000, 0.000, 0.500], [0.872, 0.704, 0.117], [0.232, 0.640, 0.497], [0.704, 0.872, 0.617], [0.931, 0.069, 0.250], [0.360, 0.768, 0.003], [0.640, 0.232, 0.997], [0.069, 0.931, 0.750], [0.296, 0.128, 0.383], [0.768, 0.360, 0.503], [0.128, 0.296, 0.883]],
  "space_group": "C2/c, No. 15",
  "crystal_system": "monoclinic"
}


Version B
{
  "formula": "SrMnCl5",
  "functional": "PBE",
  "state": "relaxed",
  "cell": [[6.514, 0.028, -1.601], [-1.121, 6.416, -1.601], [0.174, 0.208, 9.515]],
  "species": ["Sr", "Sr", "Mn", "Mn", "Cl", "Cl", "Cl", "Cl", "Cl", "Cl", "Cl", "Cl", "Cl", "Cl"],
  "fractional_positions": [[0.937, 0.563, 0.250], [0.063, 0.437, 0.750], [0.000, 0.000, 0.000], [0.500, 0.500, 0.500], [0.773, 0.899, 0.123], [0.762, 0.309, 0.447], [0.399, 0.273, 0.623], [0.225, 0.275, 0.250], [0.191, 0.738, 0.053], [0.809, 0.262, 0.947], [0.775, 0.725, 0.750], [0.601, 0.727, 0.377], [0.238, 0.691, 0.553], [0.227, 0.101, 0.877]],
  "space_group": "C2/c, No. 15",
  "crystal_system": "monoclinic"
}


Short version: version A is the least stable of them.


Version A
{
  "formula": "TaMnCl",
  "functional": "PBE",
  "state": "relaxed",
  "cell": [[4.320, 0.000, 0.000], [-2.160, 3.741, 0.000], [0.000, 0.000, 2.898]],
  "species": ["Cl", "Mn", "Ta"],
  "fractional_positions": [[0.000, 0.000, 0.001], [0.333, 0.667, 0.185], [0.667, 0.333, 0.813]],
  "space_group": "P3m1, No. 156",
  "crystal_system": "trigonal"
}


Version B
{
  "formula": "TaMnCl",
  "functional": "PBE",
  "state": "relaxed",
  "cell": [[7.123, 0.051, 0.000], [5.863, 4.045, 0.000], [-6.493, -2.048, 2.094]],
  "species": ["Cl", "Mn", "Ta"],
  "fractional_positions": [[0.038, 0.038, 0.000], [0.297, 0.297, 0.000], [0.665, 0.665, 0.000]],
  "space_group": "I4mm, No. 107",
  "crystal_system": "tetragonal"
}


Version C
{
  "formula": "TaMnCl",
  "functional": "PBE",
  "state": "relaxed",
  "cell": [[-0.596, 3.084, 2.640], [-0.166, -0.753, 4.030], [3.058, 1.228, 2.444]],
  "species": ["Cl", "Mn", "Ta"],
  "fractional_positions": [[0.500, 0.500, 0.500], [0.750, 0.750, 0.750], [0.000, 0.000, 0.000]],
  "space_group": "F-43m, No. 216",
  "crystal_system": "cubic"
}


Version D
{
  "formula": "TaMnCl",
  "functional": "PBE",
  "state": "relaxed",
  "cell": [[-0.430, 1.765, -3.918], [-3.468, -0.907, -2.408], [-3.003, 3.026, -0.687]],
  "species": ["Cl", "Mn", "Ta"],
  "fractional_positions": [[0.000, 0.000, 0.000], [0.500, 0.500, 0.500], [0.750, 0.750, 0.750]],
  "space_group": "F-43m, No. 216",
  "crystal_system": "cubic"
}


Short version: version D is the least stable of them.